Entry from Alexandria: an optimized crystal structure of Na2TbScS4 (PBE).

Values from the calculation:
Total magnetization, μB/f.u.: 0.00
ρ, Mg/m³: 3.60
Calculated total energy, eV per atom: -5.546
Energy relative to the elements, uncorrected, eV/atom: -1.782

a b c (Å): 6.7376 3.8932 7.0263
angles (deg): 90.00 108.63 90.00
Space group P2/m (No. 10)
Inequivalent atoms, fractional coordinates:
Na 0.0000 0.0000 0.0000 (multiplicity 1)
Na 0.5000 0.5000 0.0000 (multiplicity 1)
Tb 0.0000 0.5000 0.5000 (multiplicity 1)
Sc 0.5000 0.0000 0.5000 (multiplicity 1)
S 0.2539 0.0000 0.7247 (multiplicity 2)
S 0.2722 0.5000 0.2815 (multiplicity 2)



Entry from Alexandria: an optimized crystal structure of V12CrGe6 (PBE).

Values from the calculation:
Total magnetization, μB/f.u.: 0.01
ρ, Mg/m³: 6.94
Calculated total energy, eV per atom: -7.822
E_form, eV per atom: -0.10

a b c (Å): 11.7733 11.7733 6.5714
angles (deg): 90.00 90.00 120.00
Space group R-3 (No. 148, hexagonal axes)
Inequivalent atoms, fractional coordinates:
V 0.0072 0.8716 0.1730 (multiplicity 18)
V 0.0622 0.4916 0.1752 (multiplicity 18)
Cr 0.0000 0.0000 0.5000 (multiplicity 3)
Ge 0.0213 0.7582 0.8363 (multiplicity 18)



Entry from Alexandria: an optimized crystal structure of CsRbCu3I6 (PBE).

Values from the calculation:
Total magnetization, μB/f.u.: 0.00
ρ, Mg/m³: 4.13
Calculated total energy, eV per atom: -2.743
Energy relative to the elements, uncorrected, eV/atom: -0.614

a b c (Å): 9.6604 9.6604 17.4819
angles (deg): 90.00 90.00 120.00
Space group R3 (No. 146, hexagonal axes)
Inequivalent atoms, fractional coordinates:
Cs 0.0000 0.0000 0.0000 (multiplicity 3)
Rb 0.0000 0.0000 0.5430 (multiplicity 3)
Cu 0.0268 0.1733 0.2525 (multiplicity 9)
I 0.0814 0.3492 0.3670 (multiplicity 9)
I 0.0924 0.7130 0.8480 (multiplicity 9)



Entry from Alexandria: an optimized crystal structure of LiTl2Os (PBE).

Values from the calculation:
Total magnetization, μB/f.u.: 0.00
ρ, Mg/m³: 13.45
Energy above the most stable polymorph in this dataset, meV/atom: 16
Calculated total energy, eV per atom: -4.009
E_form, eV per atom: 0.46

a b c (Å): 3.4063 3.4063 6.4468
angles (deg): 90.00 90.00 90.00
Space group P4/mmm (No. 123)
Inequivalent atoms, fractional coordinates:
Li 0.0000 0.0000 0.0000 (multiplicity 1)
Tl 0.5000 0.5000 0.2509 (multiplicity 2)
Os 0.0000 0.0000 0.5000 (multiplicity 1)



Entry from Alexandria: an optimized crystal structure of Cs2SrAl2 (PBE).

Values from the calculation:
Total magnetization, μB/f.u.: 0.00
ρ, Mg/m³: 2.61
Energy above the most stable polymorph in this dataset, meV/atom: 164
Calculated total energy, eV per atom: -1.458
E_form, eV per atom: 0.72

a b c (Å): 6.5173 6.5173 12.1862
angles (deg): 90.00 90.00 90.00
Space group I4/mmm (No. 139)
Inequivalent atoms, fractional coordinates:
Cs 0.0000 0.0000 0.1416 (multiplicity 4)
Sr 0.0000 0.0000 0.5000 (multiplicity 2)
Al 0.0000 0.5000 0.2500 (multiplicity 4)



Entry from Alexandria: an optimized crystal structure of Ca2CdBi2 (PBE).

Values from the calculation:
Total magnetization, μB/f.u.: 0.00
ρ, Mg/m³: 6.27
Calculated total energy, eV per atom: -3.159
E_form, eV per atom: -0.62

a b c (Å): 9.6215 8.3746 8.0221
angles (deg): 90.00 90.21 90.00
Space group P2_1/c (No. 14)
Inequivalent atoms, fractional coordinates:
Ca 0.0941 0.2429 0.4992 (multiplicity 4)
Ca 0.3475 0.7185 0.0064 (multiplicity 4)
Cd 0.3851 0.0860 0.1724 (multiplicity 4)
Bi 0.1225 0.5712 0.7471 (multiplicity 4)
Bi 0.3470 0.0790 0.7718 (multiplicity 4)



Entry from Alexandria: an optimized crystal structure of CaLaTb4S8 (PBE).

Values from the calculation:
Total magnetization, μB/f.u.: 0.00
ρ, Mg/m³: 4.57
Calculated total energy, eV per atom: -6.185
Energy relative to the elements, uncorrected, eV/atom: -2.008

a b c (Å): 8.1369 8.1369 20.3452
angles (deg): 90.00 90.00 120.00
Space group R3m (No. 160, hexagonal axes)
Inequivalent atoms, fractional coordinates:
Ca 0.0000 0.0000 0.0000 (multiplicity 3)
La 0.0000 0.0000 0.6273 (multiplicity 3)
Tb 0.0000 0.0000 0.2518 (multiplicity 3)
Tb 0.1691 0.3382 0.4586 (multiplicity 9)
S 0.0000 0.0000 0.3840 (multiplicity 3)
S 0.0000 0.0000 0.8657 (multiplicity 3)
S 0.0213 0.5106 0.3830 (multiplicity 9)
S 0.1736 0.3472 0.2032 (multiplicity 9)



Entry from Alexandria: an optimized crystal structure of Th2CdGa (PBE).

Values from the calculation:
Total magnetization, μB/f.u.: 0.00
ρ, Mg/m³: 9.32
Calculated total energy, eV per atom: -4.584
E_form, eV per atom: 0.11

a b c (Å): 3.3767 3.3767 34.9824
angles (deg): 90.00 90.00 120.00
Space group R-3m (No. 166, hexagonal axes)
Inequivalent atoms, fractional coordinates:
Th 0.0000 0.0000 0.0953 (multiplicity 6)
Cd 0.0000 0.0000 0.0000 (multiplicity 3)
Ga 0.0000 0.0000 0.5000 (multiplicity 3)



Entry from Alexandria: an optimized crystal structure of ZrTiFeRu (PBE).

Values from the calculation:
Total magnetization, μB/f.u.: 0.00
ρ, Mg/m³: 7.98
Calculated total energy, eV per atom: -8.975
E_form, eV per atom: -0.43

a b c (Å): 6.2687 6.2687 6.2687
angles (deg): 90.00 90.00 90.00
Space group F-43m (No. 216)
Inequivalent atoms, fractional coordinates:
Zr 0.0000 0.0000 0.0000 (multiplicity 4)
Ti 0.0000 0.0000 0.5000 (multiplicity 4)
Fe 0.2500 0.2500 0.2500 (multiplicity 4)
Ru 0.2500 0.2500 0.7500 (multiplicity 4)



Entry from Alexandria: an optimized crystal structure of Bi2PdC (PBE).

Values from the calculation:
Total magnetization, μB/f.u.: 0.00
ρ, Mg/m³: 9.13
Calculated total energy, eV per atom: -4.796
E_form, eV per atom: 0.75

a b c (Å): 6.0684 6.0684 10.5988
angles (deg): 90.00 90.00 90.00
Space group I-42d (No. 122)
Inequivalent atoms, fractional coordinates:
Bi 0.2042 0.2500 0.1250 (multiplicity 8)
Pd 0.0000 0.0000 0.5000 (multiplicity 4)
C 0.0000 0.0000 0.0000 (multiplicity 4)



Entry from Alexandria: an optimized crystal structure of Ir4PtRh4 (PBE).

Values from the calculation:
Total magnetization, μB/f.u.: 0.00
ρ, Mg/m³: 17.53
Calculated total energy, eV per atom: -7.880
E_form, eV per atom: 0.00

a b c (Å): 8.2073 8.2073 3.8681
angles (deg): 90.00 90.00 90.00
Space group I4/mmm (No. 139)
Inequivalent atoms, fractional coordinates:
Ir 0.1690 0.1690 0.0000 (multiplicity 8)
Pt 0.0000 0.0000 0.5000 (multiplicity 2)
Rh 0.0000 0.3329 0.5000 (multiplicity 8)



Entry from Alexandria: an optimized crystal structure of Sc5CdSn (PBE).

Values from the calculation:
Total magnetization, μB/f.u.: 0.00
ρ, Mg/m³: 4.51
Calculated total energy, eV per atom: -5.376
E_form, eV per atom: -0.15

a b c (Å): 7.9323 8.2402 10.5212
angles (deg): 90.00 102.23 90.00
Space group C2/c (No. 15)
Inequivalent atoms, fractional coordinates:
Sc 0.0000 0.1252 0.2500 (multiplicity 4)
Sc 0.1207 0.3625 0.5274 (multiplicity 8)
Sc 0.2021 0.2111 0.8423 (multiplicity 8)
Cd 0.0000 0.0000 0.0000 (multiplicity 4)
Sn 0.0000 0.4822 0.2500 (multiplicity 4)



Entry from Alexandria: an optimized crystal structure of CaNd6Y12 (PBE).

Values from the calculation:
Total magnetization, μB/f.u.: 0.00
ρ, Mg/m³: 5.13
Calculated total energy, eV per atom: -5.662
E_form, eV per atom: 0.03

a b c (Å): 15.7883 15.7883 8.8786
angles (deg): 90.00 90.00 120.00
Space group R-3 (No. 148, hexagonal axes)
Inequivalent atoms, fractional coordinates:
Ca 0.0000 0.0000 0.0000 (multiplicity 3)
Nd 0.0342 0.2795 0.3304 (multiplicity 18)
Y 0.0176 0.1416 0.6621 (multiplicity 18)
Y 0.0671 0.5604 0.6670 (multiplicity 18)



Entry from Alexandria: an optimized crystal structure of RbPuAuCl6 (PBE).

Values from the calculation:
Total magnetization, μB/f.u.: 3.98
ρ, Mg/m³: 3.98
Calculated total energy, eV per atom: -4.653
Energy relative to the elements, uncorrected, eV/atom: -1.358

a b c (Å): 6.8674 6.8674 15.1192
angles (deg): 90.00 90.00 120.00
Space group P-31c (No. 163)
Inequivalent atoms, fractional coordinates:
Rb 0.0000 0.0000 0.0000 (multiplicity 2)
Pu 0.3333 0.6667 0.2500 (multiplicity 2)
Au 0.3333 0.6667 0.7500 (multiplicity 2)
Cl 0.0132 0.3677 0.1470 (multiplicity 12)



Entry from Alexandria: an optimized crystal structure of HoPaBiO6 (PBE).

Values from the calculation:
Total magnetization, μB/f.u.: 0.00
ρ, Mg/m³: 8.27
Calculated total energy, eV per atom: -8.013
Energy relative to the elements, uncorrected, eV/atom: -2.713

a b c (Å): 5.1479 5.1479 10.6184
angles (deg): 90.00 90.00 90.00
Space group P4_2nm (No. 102)
Inequivalent atoms, fractional coordinates:
Ho 0.0000 0.0000 0.0000 (multiplicity 2)
Pa 0.0000 0.0000 0.6655 (multiplicity 2)
Bi 0.0000 0.0000 0.3320 (multiplicity 2)
O 0.1873 0.1873 0.8274 (multiplicity 4)
O 0.1892 0.1892 0.5036 (multiplicity 4)
O 0.1997 0.1997 0.1653 (multiplicity 4)



Entry from Alexandria: an optimized crystal structure of Al2ZnCo (PBE).

Values from the calculation:
Total magnetization, μB/f.u.: 0.00
ρ, Mg/m³: 5.29
Calculated total energy, eV per atom: -4.107
E_form, eV per atom: -0.14

a b c (Å): 2.8217 2.8217 24.3494
angles (deg): 90.00 90.00 120.00
Space group R-3m (No. 166, hexagonal axes)
Inequivalent atoms, fractional coordinates:
Al 0.0000 0.0000 0.2420 (multiplicity 6)
Zn 0.0000 0.0000 0.0000 (multiplicity 3)
Co 0.0000 0.0000 0.5000 (multiplicity 3)